No. 1
A geometry-optimized Na2InPbW structure. Source: Alexandria, functional PBE.

Summary:
Total magnetic moment (μB per cell): 3.29
Energy relative to the elements (meV/atom): 1145
Crystal system: tetragonal
Calculated density (Mg/m³): 5.00
Volume (Å³/cell): 183
Symmetry: P4/mmm (123)
E (eV/cell): -16.31

Lattice parameters (Å, degrees): 5.842 5.842 5.374 90.00 90.00 90.00
Atoms (fractional coordinates):
Na 0.000 0.500 0.000
Na 0.500 0.000 0.000
In 0.000 0.000 0.500
Pb 0.500 0.500 0.500
W 0.500 0.500 0.000

No. 2
A geometry-optimized Ta2MnPd9 structure. Source: Alexandria, functional PBE.

Summary:
Total magnetic moment (μB per cell): 4.99
Energy relative to the elements (meV/atom): -409
Crystal system: tetragonal
Calculated density (Mg/m³): 12.27
Volume (Å³/cell): 186
Symmetry: P4/mmm (123)
E (eV/cell): -84.52

Lattice parameters (Å, degrees): 3.955 3.955 11.891 90.00 90.00 90.00
Atoms (fractional coordinates):
Ta 0.000 0.000 0.175
Ta 0.000 0.000 0.825
Mn 0.000 0.000 0.500
Pd 0.000 0.500 0.000
Pd 0.000 0.500 0.329
Pd 0.000 0.500 0.671
Pd 0.500 0.000 0.000
Pd 0.500 0.000 0.329
Pd 0.500 0.000 0.671
Pd 0.500 0.500 0.163
Pd 0.500 0.500 0.500
Pd 0.500 0.500 0.837

No. 3
A geometry-optimized V5Fe2MoW2 structure. Source: Alexandria, functional PBE.

Summary:
Total magnetic moment (μB per cell): 0.00
Energy relative to the elements (meV/atom): 105
Crystal system: tetragonal
Calculated density (Mg/m³): 9.97
Volume (Å³/cell): 276
Symmetry: P4/mbm (127)
E (eV/cell): -196.41

Lattice parameters (Å, degrees): 9.352 9.352 3.161 90.00 90.00 90.00
Atoms (fractional coordinates):
V 0.000 0.500 0.000
V 0.064 0.206 0.000
V 0.206 0.936 0.000
V 0.294 0.436 0.000
V 0.436 0.706 0.000
V 0.500 0.000 0.000
V 0.564 0.294 0.000
V 0.706 0.564 0.000
V 0.794 0.064 0.000
V 0.936 0.794 0.000
Fe 0.124 0.376 0.500
Fe 0.376 0.876 0.500
Fe 0.624 0.124 0.500
Fe 0.876 0.624 0.500
Mo 0.000 0.000 0.500
Mo 0.500 0.500 0.500
W 0.175 0.675 0.500
W 0.325 0.175 0.500
W 0.675 0.825 0.500
W 0.825 0.325 0.500